Entry 1:
YTeBr after structural relaxation, computed with PBEsol.

Output
Its formation energy from raw total energies is -1.537 eV per atom. As for the magnetization: 0.00 μB/f.u. As for the density of states at the Fermi level: 0.000 states/eV per atom.

abc: 4.1987 4.1987 6.6120
angles: 90.00 90.00 120.00
Space group P3m1 (No. 156)
Unique sites:
Y 0.0000 0.0000 0.0000
Te 0.6667 0.3333 0.2545
Br 0.3333 0.6667 0.7475

***

Entry 2:
YTeBr2 after structural relaxation, computed with PBEsol.

Output
Its formation energy from raw total energies is -1.008 eV per atom. As for the magnetization: 0.00 μB/f.u. As for the excess energy over the best structure of this formula in the dataset: 0.086 eV per atom. As for the density of states at the Fermi level: 0.752 states/eV per atom.

abc: 3.881 3.881 7.491
angles: 90.00 90.00 90.00
Space group P4mm (No. 99)
Unique sites:
Y 0.000 0.000 0.000
Te 0.500 0.500 0.823
Br 0.000 0.000 0.601
Br 0.500 0.500 0.243

***

Entry 3:
ZnTe2Br after structural relaxation, computed with PBEsol.

Output
Its formation energy from raw total energies is -0.019 eV per atom. As for the magnetization: 0.00 μB/f.u. As for the excess energy over the best structure of this formula in the dataset: 0.000 eV per atom. As for the density of states at the Fermi level: 0.422 states/eV per atom.

abc: 3.650 4.927 10.863
angles: 90.00 90.00 90.00
Space group Immm (No. 71)
Unique sites:
Zn 0.000 0.000 0.000
Te 0.000 0.500 0.299
Br 0.000 0.000 0.500

***

Entry 4:
ZnTeBr2 after structural relaxation, computed with PBEsol.

Output
Its formation energy from raw total energies is -0.228 eV per atom. As for the magnetization: 0.00 μB/f.u. As for the density of states at the Fermi level: 0.244 states/eV per atom.

abc: 10.836 3.749 5.656
angles: 90.00 104.10 90.00
Space group Cm (No. 8)
Unique sites:
Zn 0.000 0.000 0.000
Te 0.162 0.500 0.235
Br 0.024 0.500 0.553
Br 0.326 0.000 0.895

***

Entry 5:
ZnTe2Br after structural relaxation, computed with PBEsol.

Output
Its formation energy from raw total energies is 0.163 eV per atom. As for the magnetization: 0.00 μB/f.u. As for the excess energy over the best structure of this formula in the dataset: 0.183 eV per atom. As for the density of states at the Fermi level: 0.573 states/eV per atom.

abc: 3.3178 3.3178 32.1493
angles: 90.00 90.00 120.00
Space group R-3m (No. 166, hexagonal axes)
Unique sites:
Zn 0.0000 0.0000 0.0000
Te 0.0000 0.0000 0.0794
Br 0.0000 0.0000 0.5000

***

Entry 6:
ZnTeBr2 after structural relaxation, computed with PBEsol.

Output
Its formation energy from raw total energies is -0.287 eV per atom. As for the magnetization: 0.00 μB/f.u. As for the density of states at the Fermi level: 0.174 states/eV per atom.

abc: 3.575 5.559 13.232
angles: 90.00 90.00 90.00
Space group Imm2 (No. 44)
Unique sites:
Zn 0.000 0.000 0.000
Te 0.000 0.500 0.346
Br 0.000 0.000 0.387
Br 0.000 0.500 0.628

***

Entry 7:
ZnTeBr after structural relaxation, computed with PBEsol.

Output
Its formation energy from raw total energies is -0.345 eV per atom. As for the magnetization: 0.00 μB/f.u. As for the density of states at the Fermi level: 0.390 states/eV per atom.

abc: 3.5794 3.5794 6.9899
angles: 90.00 90.00 120.00
Space group P3m1 (No. 156)
Unique sites:
Zn 0.0000 0.0000 0.0000
Te 0.3333 0.6667 0.2690
Br 0.6667 0.3333 0.7792

***

Entry 8:
ZnTeBr2 after structural relaxation, computed with PBEsol.

Output
Its formation energy from raw total energies is -0.011 eV per atom. As for the magnetization: 0.00 μB/f.u. As for the density of states at the Fermi level: 0.675 states/eV per atom.

abc: 3.437 3.437 8.098
angles: 90.00 90.00 90.00
Space group P4mm (No. 99)
Unique sites:
Zn 0.000 0.000 0.000
Te 0.500 0.500 0.765
Br 0.000 0.000 0.524
Br 0.500 0.500 0.172

***

> Look up the magnetization of the second one.

0.00 μB/f.u.